Run i
{"formula": "Li4Hg3", "functional": "GGA-PBE", "state": "optimized geometry", "lattice": [[2.334, 1.348, 7.343], [-2.334, 1.348, 7.343], [0.000, -2.695, 7.343]], "species": ["Li", "Li", "Li", "Li", "Hg", "Hg", "Hg"], "frac_coords": [[0.114, 0.114, 0.114], [0.370, 0.370, 0.370], [0.630, 0.630, 0.630], [0.886, 0.886, 0.886], [0.246, 0.246, 0.246], [0.500, 0.500, 0.500], [0.754, 0.754, 0.754]], "n_ef_per_ev_cell": 2.531, "rho_g_cm3": 7.54}

Run ii
{"formula": "Li4Hg3", "functional": "GGA-PBE", "state": "optimized geometry", "lattice": [[10.860, -1.720, 0.000], [10.860, 1.720, 0.000], [-0.497, 0.000, 3.401]], "species": ["Li", "Li", "Li", "Li", "Hg", "Hg", "Hg"], "frac_coords": [[0.073, 0.073, 0.072], [0.214, 0.214, 0.212], [0.786, 0.786, 0.788], [0.927, 0.927, 0.928], [0.351, 0.351, 0.353], [0.500, 0.500, 0.500], [0.649, 0.649, 0.647]], "n_ef_per_ev_cell": 1.996, "rho_g_cm3": 8.23}

Run iii
{"formula": "Li4Hg3", "functional": "GGA-PBE", "state": "optimized geometry", "lattice": [[-1.762, 1.762, 10.624], [1.762, -1.762, 10.624], [1.762, 1.762, -10.624]], "species": ["Li", "Li", "Li", "Li", "Hg", "Hg", "Hg"], "frac_coords": [[0.068, 0.068, 0.000], [0.357, 0.357, 0.000], [0.643, 0.643, 0.000], [0.932, 0.932, 0.000], [0.202, 0.202, 0.000], [0.500, 0.500, 0.000], [0.798, 0.798, 0.000]], "n_ef_per_ev_cell": 3.070, "rho_g_cm3": 7.92}

run ii wins, 0.050 eV/atom ahead of the next structure.

Run i
{"formula": "Li2LuHg", "functional": "GGA-PBE", "state": "optimized geometry", "lattice": [[0.000, 3.351, 3.351], [3.351, 0.000, 3.351], [3.351, 3.351, 0.000]], "species": ["Li", "Li", "Lu", "Hg"], "frac_coords": [[0.250, 0.250, 0.250], [0.750, 0.750, 0.750], [0.000, 0.000, 0.000], [0.500, 0.500, 0.500]], "n_ef_per_ev_cell": 5.457, "rho_g_cm3": 8.59}

Run ii
{"formula": "Li2LuHg", "functional": "GGA-PBE", "state": "optimized geometry", "lattice": [[4.234, 0.000, 0.000], [0.000, 4.234, 0.000], [0.000, 0.000, 4.949]], "species": ["Li", "Li", "Lu", "Hg"], "frac_coords": [[0.000, 0.500, 0.000], [0.500, 0.000, 0.000], [0.000, 0.000, 0.500], [0.500, 0.500, 0.500]], "n_ef_per_ev_cell": 3.736, "rho_g_cm3": 7.29}

run i wins, 0.017 eV/atom ahead of the next structure.

Run i
{"formula": "Li4MgHg2", "functional": "GGA-PBE", "state": "optimized geometry", "lattice": [[7.443, 0.000, 0.000], [0.000, 5.376, 0.000], [-3.250, 0.000, 6.770]], "species": ["Li", "Li", "Li", "Li", "Li", "Li", "Li", "Li", "Mg", "Mg", "Hg", "Hg", "Hg", "Hg"], "frac_coords": [[0.060, 0.250, 0.063], [0.061, 0.750, 0.349], [0.431, 0.504, 0.284], [0.431, 0.996, 0.284], [0.569, 0.004, 0.716], [0.569, 0.496, 0.716], [0.939, 0.250, 0.651], [0.940, 0.750, 0.937], [0.226, 0.750, 0.781], [0.774, 0.250, 0.219], [0.212, 0.250, 0.467], [0.350, 0.250, 0.929], [0.650, 0.750, 0.071], [0.788, 0.750, 0.533]], "n_ef_per_ev_cell": 4.530, "rho_g_cm3": 5.56}

Run ii
{"formula": "Li4MgHg2", "functional": "GGA-PBE", "state": "optimized geometry", "lattice": [[2.340, 1.351, 6.987], [-2.340, 1.351, 6.987], [0.000, -2.702, 6.987]], "species": ["Li", "Li", "Li", "Li", "Mg", "Hg", "Hg"], "frac_coords": [[0.085, 0.085, 0.085], [0.361, 0.361, 0.361], [0.639, 0.639, 0.639], [0.915, 0.915, 0.915], [0.500, 0.500, 0.500], [0.231, 0.231, 0.231], [0.769, 0.769, 0.769]], "n_ef_per_ev_cell": 2.848, "rho_g_cm3": 5.68}

run ii wins, 0.062 eV/atom ahead of the next structure.

Run i
{"formula": "Li6Mg2Hg", "functional": "GGA-PBE", "state": "optimized geometry", "lattice": [[6.674, -4.561, 0.000], [6.674, 4.561, 0.000], [-0.671, 0.000, 2.959]], "species": ["Li", "Li", "Li", "Li", "Li", "Li", "Mg", "Mg", "Hg"], "frac_coords": [[0.161, 0.471, 0.312], [0.228, 0.772, 0.000], [0.471, 0.161, 0.312], [0.529, 0.839, 0.688], [0.772, 0.228, 0.000], [0.839, 0.529, 0.688], [0.130, 0.130, 0.628], [0.870, 0.870, 0.372], [0.500, 0.500, 0.500]], "n_ef_per_ev_cell": 3.818, "rho_g_cm3": 2.68}

Run ii
{"formula": "Li6Mg2Hg", "functional": "GGA-PBE", "state": "optimized geometry", "lattice": [[2.611, -7.356, 0.000], [2.611, 7.356, 0.000], [-2.100, 0.000, 4.467]], "species": ["Li", "Li", "Li", "Li", "Li", "Li", "Mg", "Mg", "Hg"], "frac_coords": [[0.014, 0.330, 0.344], [0.175, 0.175, 0.839], [0.330, 0.014, 0.344], [0.670, 0.986, 0.656], [0.825, 0.825, 0.161], [0.986, 0.670, 0.656], [0.326, 0.674, 0.000], [0.674, 0.326, 0.000], [0.500, 0.500, 0.500]], "n_ef_per_ev_cell": 3.755, "rho_g_cm3": 2.81}

run ii wins, 0.022 eV/atom ahead of the next structure.

Run i
{"formula": "Li2Mg8Hg", "functional": "GGA-PBE", "state": "optimized geometry", "lattice": [[8.429, -2.549, 0.000], [8.429, 2.549, 0.000], [-0.361, 0.000, 5.565]], "species": ["Li", "Li", "Mg", "Mg", "Mg", "Mg", "Mg", "Mg", "Mg", "Mg", "Hg"], "frac_coords": [[0.232, 0.232, 0.357], [0.768, 0.768, 0.643], [0.048, 0.048, 0.263], [0.144, 0.144, 0.800], [0.322, 0.322, 0.903], [0.410, 0.410, 0.440], [0.590, 0.590, 0.560], [0.678, 0.678, 0.097], [0.856, 0.856, 0.200], [0.952, 0.952, 0.737], [0.500, 0.500, 0.000]], "n_ef_per_ev_cell": 3.903, "rho_g_cm3": 2.84}

Run ii
{"formula": "Li2Mg8Hg", "functional": "GGA-PBE", "state": "optimized geometry", "lattice": [[7.127, -2.515, 0.000], [7.127, 2.515, 0.000], [-4.110, 0.000, 6.538]], "species": ["Li", "Li", "Mg", "Mg", "Mg", "Mg", "Mg", "Mg", "Mg", "Mg", "Hg"], "frac_coords": [[0.228, 0.228, 0.138], [0.772, 0.772, 0.862], [0.052, 0.052, 0.223], [0.136, 0.136, 0.689], [0.319, 0.319, 0.579], [0.404, 0.404, 0.044], [0.596, 0.596, 0.956], [0.681, 0.681, 0.421], [0.864, 0.864, 0.311], [0.948, 0.948, 0.777], [0.500, 0.500, 0.500]], "n_ef_per_ev_cell": 3.380, "rho_g_cm3": 2.90}

run ii wins, 0.023 eV/atom ahead of the next structure.

Run i
{"formula": "Li7Mg2Hg", "functional": "GGA-PBE", "state": "optimized geometry", "lattice": [[0.000, 4.894, 4.894], [4.894, 0.000, 4.894], [4.894, 4.894, 0.000]], "species": ["Li", "Li", "Li", "Li", "Li", "Li", "Li", "Mg", "Mg", "Hg"], "frac_coords": [[0.000, 0.000, 0.000], [0.246, 0.246, 0.754], [0.246, 0.754, 0.246], [0.246, 0.754, 0.754], [0.754, 0.246, 0.246], [0.754, 0.246, 0.754], [0.754, 0.754, 0.246], [0.250, 0.250, 0.250], [0.750, 0.750, 0.750], [0.500, 0.500, 0.500]], "n_ef_per_ev_cell": 3.872, "rho_g_cm3": 2.11}

Run ii
{"formula": "Li7Mg2Hg", "functional": "GGA-PBE", "state": "optimized geometry", "lattice": [[4.710, 0.000, 0.000], [-2.355, 4.079, 0.000], [0.000, 0.000, 10.181]], "species": ["Li", "Li", "Li", "Li", "Li", "Li", "Li", "Mg", "Mg", "Hg"], "frac_coords": [[0.000, 0.000, 0.000], [0.000, 0.000, 0.230], [0.000, 0.000, 0.474], [0.333, 0.667, 0.264], [0.333, 0.667, 0.955], [0.667, 0.333, 0.428], [0.667, 0.333, 0.817], [0.000, 0.000, 0.735], [0.333, 0.667, 0.597], [0.667, 0.333, 0.120]], "n_ef_per_ev_cell": 3.067, "rho_g_cm3": 2.53}

run ii wins, 0.217 eV/atom ahead of the next structure.

Run i
{"formula": "LiMg3Hg3", "functional": "GGA-PBE", "state": "optimized geometry", "lattice": [[4.753, -4.817, 0.000], [4.753, 4.817, 0.000], [0.000, 0.000, 6.678]], "species": ["Li", "Li", "Mg", "Mg", "Mg", "Mg", "Mg", "Mg", "Hg", "Hg", "Hg", "Hg", "Hg", "Hg"], "frac_coords": [[0.247, 0.753, 0.000], [0.753, 0.247, 0.000], [0.263, 0.737, 0.500], [0.265, 0.265, 0.500], [0.289, 0.289, 0.000], [0.711, 0.711, 0.000], [0.735, 0.735, 0.500], [0.737, 0.263, 0.500], [0.000, 0.000, 0.240], [0.000, 0.000, 0.760], [0.000, 0.500, 0.242], [0.000, 0.500, 0.758], [0.500, 0.000, 0.242], [0.500, 0.000, 0.758]], "n_ef_per_ev_cell": 2.738, "rho_g_cm3": 7.40}

Run ii
{"formula": "LiMg3Hg3", "functional": "GGA-PBE", "state": "optimized geometry", "lattice": [[3.773, -5.344, 0.000], [3.773, 5.344, 0.000], [-0.441, 0.000, 7.709]], "species": ["Li", "Li", "Mg", "Mg", "Mg", "Mg", "Mg", "Mg", "Hg", "Hg", "Hg", "Hg", "Hg", "Hg"], "frac_coords": [[0.188, 0.188, 0.475], [0.812, 0.812, 0.525], [0.137, 0.137, 0.862], [0.265, 0.735, 0.500], [0.339, 0.661, 0.000], [0.661, 0.339, 0.000], [0.735, 0.265, 0.500], [0.863, 0.863, 0.138], [0.026, 0.356, 0.212], [0.356, 0.026, 0.212], [0.468, 0.468, 0.698], [0.532, 0.532, 0.302], [0.644, 0.974, 0.788], [0.974, 0.644, 0.788]], "n_ef_per_ev_cell": 4.205, "rho_g_cm3": 7.28}

run i wins, 0.036 eV/atom ahead of the next structure.

Run i
{"formula": "Li7Mg3Hg", "functional": "GGA-PBE", "state": "optimized geometry", "lattice": [[1.527, -10.224, 0.000], [1.527, 10.224, 0.000], [0.000, 0.000, 14.283]], "species": ["Li", "Li", "Li", "Li", "Li", "Li", "Li", "Li", "Li", "Li", "Li", "Li", "Li", "Li", "Mg", "Mg", "Mg", "Mg", "Mg", "Mg", "Hg", "Hg"], "frac_coords": [[0.003, 0.997, 0.592], [0.003, 0.997, 0.908], [0.096, 0.904, 0.250], [0.129, 0.871, 0.656], [0.129, 0.871, 0.844], [0.242, 0.758, 0.576], [0.242, 0.758, 0.924], [0.758, 0.242, 0.076], [0.758, 0.242, 0.424], [0.871, 0.129, 0.156], [0.871, 0.129, 0.344], [0.904, 0.096, 0.750], [0.997, 0.003, 0.092], [0.997, 0.003, 0.408], [0.244, 0.756, 0.250], [0.378, 0.622, 0.539], [0.378, 0.622, 0.961], [0.622, 0.378, 0.039], [0.622, 0.378, 0.461], [0.756, 0.244, 0.750], [0.472, 0.528, 0.250], [0.528, 0.472, 0.750]], "n_ef_per_ev_cell": 9.200, "rho_g_cm3": 2.40}

Run ii
{"formula": "Li7Mg3Hg", "functional": "GGA-PBE", "state": "optimized geometry", "lattice": [[5.296, -5.035, 0.000], [5.296, 5.035, 0.000], [-2.374, 0.000, 4.477]], "species": ["Li", "Li", "Li", "Li", "Li", "Li", "Li", "Mg", "Mg", "Mg", "Hg"], "frac_coords": [[0.000, 0.000, 0.000], [0.088, 0.574, 0.331], [0.291, 0.291, 0.805], [0.426, 0.912, 0.669], [0.574, 0.088, 0.331], [0.709, 0.709, 0.195], [0.912, 0.426, 0.669], [0.287, 0.713, 0.000], [0.500, 0.500, 0.500], [0.713, 0.287, 0.000], [0.000, 0.000, 0.500]], "n_ef_per_ev_cell": 4.001, "rho_g_cm3": 2.24}

run i wins, 0.039 eV/atom ahead of the next structure.

Run i
{"formula": "LiMg2Hg4", "functional": "GGA-PBE", "state": "optimized geometry", "lattice": [[7.375, -1.678, 0.000], [7.375, 1.678, 0.000], [-3.052, 0.000, 6.279]], "species": ["Li", "Mg", "Mg", "Hg", "Hg", "Hg", "Hg"], "frac_coords": [[0.000, 0.000, 0.000], [0.229, 0.229, 0.189], [0.771, 0.771, 0.811], [0.093, 0.093, 0.731], [0.387, 0.387, 0.647], [0.613, 0.613, 0.353], [0.907, 0.907, 0.269]], "n_ef_per_ev_cell": 2.390, "rho_g_cm3": 9.17}

Run ii
{"formula": "LiMg2Hg4", "functional": "GGA-PBE", "state": "optimized geometry", "lattice": [[-3.344, 3.344, 3.542], [3.344, -3.344, 3.542], [3.344, 3.344, -3.542]], "species": ["Li", "Mg", "Mg", "Hg", "Hg", "Hg", "Hg"], "frac_coords": [[0.000, 0.000, 0.000], [0.000, 0.500, 0.500], [0.500, 0.000, 0.500], [0.000, 0.000, 0.500], [0.000, 0.500, 0.000], [0.500, 0.000, 0.000], [0.500, 0.500, 0.500]], "n_ef_per_ev_cell": 3.523, "rho_g_cm3": 8.99}

run ii wins, 0.036 eV/atom ahead of the next structure.

Run i
{"formula": "Li8Mg2Hg", "functional": "GGA-PBE", "state": "optimized geometry", "lattice": [[6.322, -2.786, 0.000], [6.322, 2.786, 0.000], [-1.614, 0.000, 5.980]], "species": ["Li", "Li", "Li", "Li", "Li", "Li", "Li", "Li", "Mg", "Mg", "Hg"], "frac_coords": [[0.093, 0.093, 0.698], [0.161, 0.676, 0.817], [0.265, 0.265, 0.537], [0.324, 0.839, 0.183], [0.676, 0.161, 0.817], [0.735, 0.735, 0.463], [0.839, 0.324, 0.183], [0.907, 0.907, 0.302], [0.301, 0.301, 0.106], [0.699, 0.699, 0.894], [0.500, 0.500, 0.500]], "n_ef_per_ev_cell": 4.074, "rho_g_cm3": 2.40}

Run ii
{"formula": "Li8Mg2Hg", "functional": "GGA-PBE", "state": "optimized geometry", "lattice": [[7.739, -2.281, 0.000], [7.739, 2.281, 0.000], [-0.798, 0.000, 6.004]], "species": ["Li", "Li", "Li", "Li", "Li", "Li", "Li", "Li", "Mg", "Mg", "Hg"], "frac_coords": [[0.034, 0.034, 0.242], [0.143, 0.143, 0.662], [0.329, 0.329, 0.594], [0.410, 0.410, 0.058], [0.590, 0.590, 0.942], [0.671, 0.671, 0.406], [0.857, 0.857, 0.338], [0.966, 0.966, 0.758], [0.221, 0.221, 0.146], [0.779, 0.779, 0.854], [0.500, 0.500, 0.500]], "n_ef_per_ev_cell": 5.903, "rho_g_cm3": 2.39}

run ii wins, 0.052 eV/atom ahead of the next structure.

Run i
{"formula": "Li6MgHg", "functional": "GGA-PBE", "state": "optimized geometry", "lattice": [[4.865, 0.000, 0.000], [0.000, 6.135, 0.000], [0.000, 0.000, 5.030]], "species": ["Li", "Li", "Li", "Li", "Li", "Li", "Mg", "Hg"], "frac_coords": [[0.000, 0.000, 0.000], [0.000, 0.235, 0.477], [0.000, 0.765, 0.477], [0.500, 0.234, 0.849], [0.500, 0.500, 0.358], [0.500, 0.766, 0.849], [0.000, 0.500, 0.973], [0.500, 0.000, 0.346]], "n_ef_per_ev_cell": 3.651, "rho_g_cm3": 2.95}

Run ii
{"formula": "Li6MgHg", "functional": "GGA-PBE", "state": "optimized geometry", "lattice": [[4.061, -2.822, 0.000], [4.061, 2.822, 0.000], [-2.399, 0.000, 7.641]], "species": ["Li", "Li", "Li", "Li", "Li", "Li", "Mg", "Hg"], "frac_coords": [[0.058, 0.561, 0.205], [0.142, 0.142, 0.436], [0.439, 0.942, 0.795], [0.561, 0.058, 0.205], [0.858, 0.858, 0.564], [0.942, 0.439, 0.795], [0.000, 0.000, 0.000], [0.500, 0.500, 0.500]], "n_ef_per_ev_cell": 3.672, "rho_g_cm3": 2.53}

run i wins, 0.131 eV/atom ahead of the next structure.